Compound: MnReHg2
Source: Alexandria via LeMat-Bulk
Functional: PBE
Structure: optimized geometry

a b c (Å): 4.0944 4.0944 4.2026
angles (deg): 90.00 90.00 90.00
Element x y z (fractional)
Mn 0.0000 0.0000 0.0000
Re 0.5000 0.5000 0.0000
Hg 0.0000 0.5000 0.5000
Hg 0.5000 0.0000 0.5000

Calculated values
For the formation energy, the calculation gives 713 meV/atom. Its crystal system is tetragonal. As for the space group: P4/mmm, No. 123. Its offset from the most stable computed form is 31.1 kJ per mole of atoms. As for the energy: -4.8427 eV per atom.